[1]
DFT (PBE) results for a geometry-optimized KTl12Pb4 structure.

Its crystal system is cubic. The raw total energy comes out at -0.0904 Ha/atom. The formation enthalpy at 0 K is 0.148 eV per atom. The total magnetization comes out at 0.00 Bohr magnetons per cell.

The structure belongs to space group Im-3 (No. 204); the cell edges are 10.820, 10.820 and 10.820 Å and the angles 90.00°, 90.00° and 90.00°. The inequivalent atoms are K at (0.000, 0.000, 0.000), Tl at (0.000, 0.147, 0.354) and Pb at (0.250, 0.250, 0.250).

[2]
DFT (PBE) results for a geometry-optimized BaLaNpO6 structure.

Its crystal system is trigonal. The raw total energy comes out at -0.3116 Ha/atom. The raw formation energy comes out at -2.97 eV per atom. The total magnetization comes out at 0.00 Bohr magnetons per cell.

The structure belongs to space group P-31c (No. 163); the cell edges are 6.1380, 6.1380 and 10.5095 Å and the angles 90.00°, 90.00° and 120.00°. The inequivalent atoms are Ba at (0.0000, 0.0000, 0.0000), La at (0.3333, 0.6667, 0.2500), Np at (0.3333, 0.6667, 0.7500) and O at (0.0449, 0.3964, 0.6466).

[3]
DFT (PBE) results for a geometry-optimized NaPa2AlO8 structure.

Its crystal system is trigonal. The raw total energy comes out at -0.2861 Ha/atom. The raw formation energy comes out at -2.48 eV per atom. The total magnetization comes out at 1.92 Bohr magnetons per cell.

The structure belongs to space group P-3m1 (No. 164); the cell edges are 4.9364, 4.9364 and 7.8748 Å and the angles 90.00°, 90.00° and 120.00°. The inequivalent atoms are Na at (0.0000, 0.0000, 0.0000), Pa at (0.3333, 0.6667, 0.3380), Al at (0.0000, 0.0000, 0.5000), O at (0.1702, 0.3404, 0.6432) and O at (0.3333, 0.6667, 0.0995).

[4]
DFT (PBE) results for a geometry-optimized Zr2Co2Si structure.

Its crystal system is monoclinic. The raw total energy comes out at -0.2919 Ha/atom. The raw formation energy comes out at -0.60 eV per atom. The total magnetization comes out at 0.00 Bohr magnetons per cell. As for the distance to the lowest polymorph of the same formula: 0.0 meV per atom.

The structure belongs to space group C2/c (No. 15); the cell edges are 8.904, 5.075 and 7.046 Å and the angles 90.00°, 103.55° and 90.00°. The inequivalent atoms are Zr at (0.149, 0.137, 0.149), Co at (0.134, 0.368, 0.504) and Si at (0.000, 0.354, 0.750).

[5]
DFT (PBE) results for a geometry-optimized Zn2Ni2Sb structure.

Its crystal system is tetragonal. The raw total energy comes out at -0.1351 Ha/atom. The raw formation energy comes out at -0.03 eV per atom. The total magnetization comes out at 0.00 Bohr magnetons per cell. As for the distance to the lowest polymorph of the same formula: 37.1 meV per atom.

The structure belongs to space group I4/mmm (No. 139); the cell edges are 3.490, 3.490 and 12.495 Å and the angles 90.00°, 90.00° and 90.00°. The inequivalent atoms are Zn at (0.000, 0.500, 0.250), Ni at (0.000, 0.000, 0.099) and Sb at (0.000, 0.000, 0.500).

[6]
DFT (PBE) results for a geometry-optimized La5Pm3Sm structure.

Its crystal system is tetragonal. The raw total energy comes out at -0.1689 Ha/atom. The formation enthalpy at 0 K is 0.249 eV per atom. The total magnetization comes out at 0.00 Bohr magnetons per cell. As for the distance to the lowest polymorph of the same formula: 18.5 meV per atom.

The structure belongs to space group I4/mcm (No. 140); the cell edges are 8.999, 8.999 and 15.965 Å and the angles 90.00°, 90.00° and 90.00°. The inequivalent atoms are La at (0.000, 0.000, 0.000), La at (0.203, 0.297, 0.139), Pm at (0.000, 0.000, 0.250), Pm at (0.118, 0.382, 0.500) and Sm at (0.000, 0.500, 0.250).